[1]
This record from Alexandria via LeMat-Bulk describes Ca2PmRhO5 after structural relaxation. The functional is PBE.

Values from the calculation:
Energy relative to the elements, uncorrected, eV/atom: -2.1038

abc: 6.2939 6.2939 7.5273
angles: 114.71 114.71 90.00
Closest atoms and distances in Å follow each position.
Sites, in units of the cell vectors:
Ca 0.1712 0.3288 0.0000  4 O 2.28-2.33
Ca 0.6712 0.1712 0.0000  4 O 2.28-2.33
Ca 0.3288 0.8288 0.0000  4 O 2.28-2.33
Ca 0.8288 0.6712 0.0000  4 O 2.28-2.33
Pm 0.2500 0.2500 0.5000  10 O 2.79-3.04
Pm 0.7500 0.7500 0.5000  10 O 2.79-3.04
Rh 0.2500 0.7500 0.5000  4 O 1.94
Rh 0.7500 0.2500 0.5000  4 O 1.94
O 0.9845 0.4845 0.2663  1 Rh 1.94
O 0.7182 0.2182 0.7337  1 Rh 1.94
O 0.0155 0.5155 0.7337  1 Rh 1.94
O 0.2182 0.0155 0.7337  1 Rh 1.94
O 0.5155 0.7182 0.7337  1 Rh 1.94
O 0.7818 0.9845 0.2663  1 Rh 1.94
O 0.4845 0.2818 0.2663  1 Rh 1.94
O 0.2818 0.7818 0.2663  1 Rh 1.94
O 0.5000 0.5000 0.0000  4 Ca 2.33
O 0.0000 0.0000 0.0000  4 Ca 2.33


[2]
This record from Alexandria via LeMat-Bulk describes La6NdSc2 after structural relaxation. The functional is PBE.

Values from the calculation:
DOS(E_F), states/eV per atom: 1.88
Energy of formation from the pure elements, kJ/mol of formula units: 95

abc: 6.1937 6.2845 8.8701
angles: 90.00 90.00 119.52
Closest atoms and distances in Å follow each position.
Sites, in units of the cell vectors:
La 0.8305 0.6610 0.0000  2 Sc 3.38, 5 La 3.56-3.71, 3 Nd 3.61
La 0.3440 0.1798 0.6542  5 La 3.37-3.71, 4 Sc 3.42-3.72, 1 Nd 3.56
La 0.8358 0.1798 0.3458  5 La 3.37-3.71, 4 Sc 3.42-3.72, 1 Nd 3.56
La 0.1695 0.3390 0.0000  2 Sc 3.38, 5 La 3.56-3.71, 3 Nd 3.61
La 0.6560 0.8202 0.6542  5 La 3.37-3.71, 4 Sc 3.42-3.72, 1 Nd 3.56
La 0.1642 0.8202 0.3458  5 La 3.37-3.71, 4 Sc 3.42-3.72, 1 Nd 3.56
Nd 0.5000 0.0000 0.0000  10 La 3.56-3.61
Sc 0.0000 0.5000 0.6767  10 La 3.38-3.72
Sc 0.5000 0.5000 0.3233  10 La 3.38-3.72


[3]
This record from Alexandria via LeMat-Bulk describes ZrAlNF2 after structural relaxation. The functional is PBE.

Values from the calculation:
DOS(E_F), states/eV per atom: 0.07
Energy relative to the elements, uncorrected, eV/atom: -1.5774

abc: 4.3150 4.3150 4.2321
angles: 90.00 90.00 90.00
Closest atoms and distances in Å follow each position.
Sites, in units of the cell vectors:
N 0.0000 0.0000 0.5000  2 Zr 2.12
Al 0.5000 0.5000 0.5000  8 F 3.02, 4 N 3.05
Zr 0.0000 0.0000 0.0000  2 N 2.12, 4 F 2.16
F 0.0000 0.5000 0.0000  2 Zr 2.16
F 0.5000 0.0000 0.0000  2 Zr 2.16


[4]
This record from Alexandria via LeMat-Bulk describes KTaAg after structural relaxation. The functional is PBE.

Values from the calculation:
DOS(E_F), states/eV per atom: 1.12
Energy of formation from the pure elements, kJ/mol of formula units: 235

abc: 9.0051 8.8206 2.9161
angles: 84.18 77.02 18.79
Closest atoms and distances in Å follow each position.
Sites, in units of the cell vectors:
Ag 0.0119 0.0119 0.9881  2 Ta 2.89, 6 Ag 2.92-3.23
K 0.3381 0.3381 0.6619  6 K 2.92-3.23
Ta 0.6500 0.6500 0.3500  2 Ag 2.89, 6 Ta 2.92-3.23


Number 1: total energy -6.648 eV/atom. Number 2: total energy -5.112 eV/atom. Number 3: total energy -6.449 eV/atom. Number 4: total energy -4.454 eV/atom.